one:
Compound: Cu3SiOs
Source: Alexandria via LeMat-Bulk
Functional: PBE
Structure: optimized geometry

Summary:
- density (g/cm³) = 8.9
- total moment (μB/f.u.) = 1.36

Unit cell a=4.2409 b=4.2409 c=4.2409 alpha=90.00 beta=90.00 gamma=90.00
Space group Pm-3m (No. 221)
Symmetry-distinct sites (fractional):
Cu  0.0000  0.0000  0.5000 x3
Si  0.0000  0.0000  0.0000 x1
Os  0.5000  0.5000  0.5000 x1


two:
Compound: Cu3SiOs
Source: Alexandria via LeMat-Bulk
Functional: PBE
Structure: optimized geometry

Summary:
- density (g/cm³) = 6.9
- total moment (μB/f.u.) = 0.00

Unit cell a=4.6240 b=4.6240 c=4.6240 alpha=90.00 beta=90.00 gamma=90.00
Space group Pm-3m (No. 221)
Symmetry-distinct sites (fractional):
Cu  0.0000  0.0000  0.5000 x3
Si  0.5000  0.5000  0.5000 x1
Os  0.0000  0.0000  0.0000 x1


Most stable = one


one:
Compound: CuSiOs3
Source: Alexandria via LeMat-Bulk
Functional: PBE
Structure: optimized geometry

Summary:
- density (g/cm³) = 13.1
- total moment (μB/f.u.) = 1.55

Unit cell a=4.3740 b=4.3740 c=4.3740 alpha=90.00 beta=90.00 gamma=90.00
Space group Pm-3m (No. 221)
Symmetry-distinct sites (fractional):
Cu  0.0000  0.0000  0.0000 x1
Si  0.5000  0.5000  0.5000 x1
Os  0.0000  0.5000  0.5000 x3


two:
Compound: CuSiOs3
Source: Alexandria via LeMat-Bulk
Functional: PBE
Structure: optimized geometry

Summary:
- density (g/cm³) = 12.7
- total moment (μB/f.u.) = 1.51

Unit cell a=4.4236 b=4.4236 c=4.4236 alpha=90.00 beta=90.00 gamma=90.00
Space group Pm-3m (No. 221)
Symmetry-distinct sites (fractional):
Cu  0.0000  0.0000  0.0000 x1
Si  0.5000  0.5000  0.5000 x1
Os  0.0000  0.0000  0.5000 x3


Most stable = one


one:
Compound: Cu2SiOs2
Source: Alexandria via LeMat-Bulk
Functional: PBE
Structure: optimized geometry

Summary:
- density (g/cm³) = 13.5
- total moment (μB/f.u.) = 0.00

Unit cell a=5.7882 b=5.7882 c=3.9259 alpha=90.00 beta=90.00 gamma=90.00
Space group P4/mbm (No. 127)
Symmetry-distinct sites (fractional):
Cu  0.1374  0.3626  0.0000 x4
Si  0.0000  0.0000  0.0000 x2
Os  0.1706  0.6706  0.5000 x4


two:
Compound: Cu2SiOs2
Source: Alexandria via LeMat-Bulk
Functional: PBE
Structure: optimized geometry

Summary:
- density (g/cm³) = 11.4
- total moment (μB/f.u.) = 0.00

Unit cell a=3.5319 b=3.5319 c=12.5096 alpha=90.00 beta=90.00 gamma=90.00
Space group I4/mmm (No. 139)
Symmetry-distinct sites (fractional):
Cu  0.0000  0.0000  0.0937 x4
Si  0.0000  0.0000  0.5000 x2
Os  0.0000  0.5000  0.2500 x4


Most stable = one


one:
Compound: SrCuOs
Source: Alexandria via LeMat-Bulk
Functional: PBE
Structure: optimized geometry

Summary:
- density (g/cm³) = 9.4
- total moment (μB/f.u.) = 0.00

Unit cell a=2.8377 b=4.0149 c=10.5732 alpha=90.00 beta=90.00 gamma=90.00
Space group Imm2 (No. 44)
Symmetry-distinct sites (fractional):
Sr  0.0000  0.0000  0.0000 x2
Cu  0.0000  0.0000  0.7224 x2
Os  0.0000  0.0000  0.2899 x2


two:
Compound: SrCuOs
Source: Alexandria via LeMat-Bulk
Functional: PBE
Structure: optimized geometry

Summary:
- density (g/cm³) = 8.4
- total moment (μB/f.u.) = 1.19

Unit cell a=6.4591 b=6.4591 c=6.4591 alpha=90.00 beta=90.00 gamma=90.00
Space group F-43m (No. 216)
Symmetry-distinct sites (fractional):
Sr  0.0000  0.0000  0.0000 x4
Cu  0.2500  0.2500  0.2500 x4
Os  0.0000  0.0000  0.5000 x4


Most stable = one


one:
Compound: SrCuOs
Source: Alexandria via LeMat-Bulk
Functional: PBE
Structure: optimized geometry

Summary:
- density (g/cm³) = 9.8
- total moment (μB/f.u.) = 0.00

Unit cell a=4.8390 b=4.8390 c=2.8442 alpha=90.00 beta=90.00 gamma=120.00
Space group P3m1 (No. 156)
Symmetry-distinct sites (fractional):
Sr  0.0000  0.0000  0.0000 x1
Cu  0.6667  0.3333  0.4988 x1
Os  0.3333  0.6667  0.5006 x1


two:
Compound: SrCuOs
Source: Alexandria via LeMat-Bulk
Functional: PBE
Structure: optimized geometry

Summary:
- density (g/cm³) = 7.4
- total moment (μB/f.u.) = 1.58

Unit cell a=6.7570 b=6.7570 c=6.7570 alpha=90.00 beta=90.00 gamma=90.00
Space group F-43m (No. 216)
Symmetry-distinct sites (fractional):
Sr  0.0000  0.0000  0.0000 x4
Cu  0.2500  0.2500  0.7500 x4
Os  0.2500  0.2500  0.2500 x4


Most stable = one


one:
Compound: TaCuOs2
Source: Alexandria via LeMat-Bulk
Functional: PBE
Structure: optimized geometry

Summary:
- density (g/cm³) = 17.3
- total moment (μB/f.u.) = 0.00

Unit cell a=2.7601 b=2.7601 c=27.2445 alpha=90.00 beta=90.00 gamma=120.00
Space group R3m (No. 160, hexagonal axes)
Symmetry-distinct sites (fractional):
Ta  0.0000  0.0000  0.0000 x3
Cu  0.0000  0.0000  0.7521 x3
Os  0.0000  0.0000  0.2443 x3
Os  0.0000  0.0000  0.4993 x3


two:
Compound: TaCuOs2
Source: Alexandria via LeMat-Bulk
Functional: PBE
Structure: optimized geometry

Summary:
- density (g/cm³) = 17.2
- total moment (μB/f.u.) = 0.00

Unit cell a=3.0718 b=4.5505 c=8.6381 alpha=90.00 beta=90.00 gamma=90.00
Space group Cmmm (No. 65)
Symmetry-distinct sites (fractional):
Ta  0.0000  0.0000  0.0000 x2
Cu  0.0000  0.0000  0.5000 x2
Os  0.0000  0.5000  0.2521 x4


three:
Compound: TaCuOs2
Source: Alexandria via LeMat-Bulk
Functional: PBE
Structure: optimized geometry

Summary:
- density (g/cm³) = 17.6
- total moment (μB/f.u.) = 0.00

Unit cell a=2.7860 b=3.9006 c=5.4279 alpha=90.00 beta=90.00 gamma=90.00
Space group Pmm2 (No. 25)
Symmetry-distinct sites (fractional):
Ta  0.0000  0.0000  0.0000 x1
Cu  0.5000  0.5000  0.2508 x1
Os  0.0000  0.0000  0.4980 x1
Os  0.5000  0.5000  0.7287 x1


Most stable = three


one:
Compound: TaCuOs2
Source: Alexandria via LeMat-Bulk
Functional: PBE
Structure: optimized geometry

Summary:
- density (g/cm³) = 17.6
- total moment (μB/f.u.) = 0.00

Unit cell a=3.1970 b=3.1970 c=5.7775 alpha=90.00 beta=90.00 gamma=90.00
Space group P4/mmm (No. 123)
Symmetry-distinct sites (fractional):
Ta  0.0000  0.0000  0.0000 x1
Cu  0.0000  0.0000  0.5000 x1
Os  0.5000  0.5000  0.2663 x2


two:
Compound: TaCuOs2
Source: Alexandria via LeMat-Bulk
Functional: PBE
Structure: optimized geometry

Summary:
- density (g/cm³) = 17.4
- total moment (μB/f.u.) = 0.00

Unit cell a=3.2115 b=3.2115 c=5.7795 alpha=90.00 beta=90.00 gamma=90.00
Space group P4mm (No. 99)
Symmetry-distinct sites (fractional):
Ta  0.0000  0.0000  0.0000 x1
Cu  0.5000  0.5000  0.2454 x1
Os  0.0000  0.0000  0.4538 x1
Os  0.5000  0.5000  0.7506 x1


three:
Compound: TaCuOs2
Source: Alexandria via LeMat-Bulk
Functional: PBE
Structure: optimized geometry

Summary:
- density (g/cm³) = 17.6
- total moment (μB/f.u.) = 0.00

Unit cell a=3.8271 b=3.8271 c=8.0434 alpha=90.00 beta=90.00 gamma=90.00
Space group I-4m2 (No. 119)
Symmetry-distinct sites (fractional):
Ta  0.0000  0.0000  0.0000 x2
Cu  0.0000  0.5000  0.7500 x2
Os  0.0000  0.0000  0.5000 x2
Os  0.0000  0.5000  0.2500 x2


Most stable = one


one:
Compound: TaCuOs2
Source: Alexandria via LeMat-Bulk
Functional: PBE
Structure: optimized geometry

Summary:
- density (g/cm³) = 17.4
- total moment (μB/f.u.) = 0.00

Unit cell a=2.7215 b=4.4055 c=4.9844 alpha=90.00 beta=94.80 gamma=90.00
Space group P2/m (No. 10)
Symmetry-distinct sites (fractional):
Ta  0.0000  0.0000  0.0000 x1
Cu  0.5000  0.0000  0.5000 x1
Os  0.2750  0.5000  0.7291 x2


two:
Compound: TaCuOs2
Source: Alexandria via LeMat-Bulk
Functional: PBE
Structure: optimized geometry

Summary:
- density (g/cm³) = 17.7
- total moment (μB/f.u.) = 0.00

Unit cell a=3.9515 b=3.9515 c=3.7481 alpha=90.00 beta=90.00 gamma=90.00
Space group P4/mmm (No. 123)
Symmetry-distinct sites (fractional):
Ta  0.0000  0.0000  0.0000 x1
Cu  0.5000  0.5000  0.0000 x1
Os  0.0000  0.5000  0.5000 x2


three:
Compound: TaCuOs2
Source: Alexandria via LeMat-Bulk
Functional: PBE
Structure: optimized geometry

Summary:
- density (g/cm³) = 17.3
- total moment (μB/f.u.) = 0.00

Unit cell a=6.2084 b=6.2084 c=6.2084 alpha=90.00 beta=90.00 gamma=90.00
Space group F-43m (No. 216)
Symmetry-distinct sites (fractional):
Ta  0.0000  0.0000  0.0000 x4
Cu  0.2500  0.2500  0.2500 x4
Os  0.0000  0.0000  0.5000 x4
Os  0.2500  0.2500  0.7500 x4


four:
Compound: TaCuOs2
Source: Alexandria via LeMat-Bulk
Functional: PBE
Structure: optimized geometry

Summary:
- density (g/cm³) = 17.5
- total moment (μB/f.u.) = 0.00

Unit cell a=2.7730 b=2.7730 c=7.7200 alpha=90.00 beta=90.00 gamma=90.00
Space group P4mm (No. 99)
Symmetry-distinct sites (fractional):
Ta  0.0000  0.0000  0.0000 x1
Cu  0.5000  0.5000  0.2501 x1
Os  0.0000  0.0000  0.4928 x1
Os  0.5000  0.5000  0.7176 x1


Most stable = two


one:
Compound: TaCuOs2
Source: Alexandria via LeMat-Bulk
Functional: PBE
Structure: optimized geometry

Summary:
- density (g/cm³) = 17.4
- total moment (μB/f.u.) = 0.00

Unit cell a=3.0567 b=4.2998 c=4.5306 alpha=90.00 beta=90.00 gamma=90.00
Space group Pmmm (No. 47)
Symmetry-distinct sites (fractional):
Ta  0.0000  0.0000  0.0000 x1
Cu  0.5000  0.0000  0.5000 x1
Os  0.0000  0.5000  0.5000 x1
Os  0.5000  0.5000  0.0000 x1


two:
Compound: TaCuOs2
Source: Alexandria via LeMat-Bulk
Functional: PBE
Structure: optimized geometry

Summary:
- density (g/cm³) = 17.5
- total moment (μB/f.u.) = 0.00

Unit cell a=3.9531 b=3.9531 c=7.5877 alpha=90.00 beta=90.00 gamma=90.00
Space group I4/mmm (No. 139)
Symmetry-distinct sites (fractional):
Ta  0.0000  0.0000  0.0000 x2
Cu  0.0000  0.0000  0.5000 x2
Os  0.0000  0.5000  0.2500 x4


Most stable = two


one:
Compound: TaCuOs2
Source: Alexandria via LeMat-Bulk
Functional: PBE
Structure: optimized geometry

Summary:
- density (g/cm³) = 17.5
- total moment (μB/f.u.) = 0.00

Unit cell a=8.8737 b=2.7884 c=4.8728 alpha=90.00 beta=99.68 gamma=90.00
Space group C2/m (No. 12)
Symmetry-distinct sites (fractional):
Ta  0.0000  0.0000  0.0000 x2
Cu  0.0000  0.5000  0.5000 x2
Os  0.2478  0.0000  0.7280 x4


two:
Compound: TaCuOs2
Source: Alexandria via LeMat-Bulk
Functional: PBE
Structure: optimized geometry

Summary:
- density (g/cm³) = 15.7
- total moment (μB/f.u.) = 0.00

Unit cell a=3.8721 b=3.8721 c=17.6727 alpha=90.00 beta=90.00 gamma=90.00
Space group I-42d (No. 122)
Symmetry-distinct sites (fractional):
Ta  0.0000  0.0000  0.0000 x4
Cu  0.0000  0.0000  0.5000 x4
Os  0.1886  0.2500  0.6250 x8


three:
Compound: TaCuOs2
Source: Alexandria via LeMat-Bulk
Functional: PBE
Structure: optimized geometry

Summary:
- density (g/cm³) = 17.5
- total moment (μB/f.u.) = 0.00

Unit cell a=6.1957 b=6.1957 c=6.1957 alpha=90.00 beta=90.00 gamma=90.00
Space group Fm-3m (No. 225)
Symmetry-distinct sites (fractional):
Ta  0.0000  0.0000  0.0000 x4
Cu  0.0000  0.0000  0.5000 x4
Os  0.2500  0.2500  0.2500 x8


Most stable = one


one:
Compound: TaCuOs2
Source: Alexandria via LeMat-Bulk
Functional: PBE
Structure: optimized geometry

Summary:
- density (g/cm³) = 17.4
- total moment (μB/f.u.) = 0.00

Unit cell a=2.7583 b=2.7583 c=27.1133 alpha=90.00 beta=90.00 gamma=120.00
Space group R-3m (No. 166, hexagonal axes)
Symmetry-distinct sites (fractional):
Ta  0.0000  0.0000  0.0000 x3
Cu  0.0000  0.0000  0.5000 x3
Os  0.0000  0.0000  0.2466 x6


two:
Compound: TaCuOs2
Source: Alexandria via LeMat-Bulk
Functional: PBE
Structure: optimized geometry

Summary:
- density (g/cm³) = 17.4
- total moment (μB/f.u.) = 0.00

Unit cell a=9.2548 b=2.8625 c=4.5898 alpha=90.00 beta=101.64 gamma=90.00
Space group Cm (No. 8)
Symmetry-distinct sites (fractional):
Ta  0.0000  0.0000  0.0000 x2
Cu  0.2549  0.5000  0.2407 x2
Os  0.0068  0.5000  0.5091 x2
Os  0.2447  0.0000  0.7236 x2


Most stable = two


one:
Compound: Ta2Cu2Os
Source: Alexandria via LeMat-Bulk
Functional: PBE
Structure: optimized geometry

Summary:
- density (g/cm³) = 14.3
- total moment (μB/f.u.) = 0.00

Unit cell a=3.1435 b=3.1435 c=15.9084 alpha=90.00 beta=90.00 gamma=90.00
Space group I4/mmm (No. 139)
Symmetry-distinct sites (fractional):
Ta  0.0000  0.0000  0.1048 x4
Cu  0.0000  0.5000  0.2500 x4
Os  0.0000  0.0000  0.5000 x2


two:
Compound: Ta2Cu2Os
Source: Alexandria via LeMat-Bulk
Functional: PBE
Structure: optimized geometry

Summary:
- density (g/cm³) = 15.2
- total moment (μB/f.u.) = 0.00

Unit cell a=6.6883 b=6.6883 c=3.3078 alpha=90.00 beta=90.00 gamma=90.00
Space group P4/mbm (No. 127)
Symmetry-distinct sites (fractional):
Ta  0.1784  0.3216  0.0000 x4
Cu  0.1236  0.6236  0.5000 x4
Os  0.0000  0.0000  0.5000 x2


Most stable = two